1.
A relaxed structure of MnBe2W2, computed with GGA-PBE.

abc: 5.935 5.935 3.289
angles: 90.00 90.00 90.00
Positions (direct):
Mn 0.000 0.000 0.000
Mn 0.500 0.500 0.000
Be 0.122 0.378 0.000
Be 0.378 0.878 0.000
Be 0.622 0.122 0.000
Be 0.878 0.622 0.000
W 0.176 0.676 0.500
W 0.324 0.176 0.500
W 0.676 0.824 0.500
W 0.824 0.324 0.500

Results
Energy of formation ... -0.11 eV/atom
Size of the total moment ... 1.0 μB/f.u.
Space group ... P4/mbm
Energy above the lowest structure with this stoichiometry ... 0 meV/atom

2.
A relaxed structure of Mn2BeW, computed with GGA-PBE.

abc: 4.650 4.650 4.650
angles: 136.09 136.09 63.84
Positions (direct):
Mn 0.000 0.000 0.000
Mn 0.750 0.250 0.500
Be 0.500 0.500 0.000
W 0.250 0.750 0.500

Results
Energy of formation ... 0.10 eV/atom
Size of the total moment ... 2.4 μB/f.u.
Space group ... I-4m2

3.
A relaxed structure of MnBeW2, computed with GGA-PBE.

abc: 2.692 2.692 7.485
angles: 90.00 90.00 103.01
Positions (direct):
Mn 0.000 0.000 0.000
Be 0.500 0.500 0.802
W 0.000 0.000 0.568
W 0.500 0.500 0.263

Results
Energy of formation ... 0.12 eV/atom
Size of the total moment ... 1.9 μB/f.u.
Space group ... Cmm2

4.
A relaxed structure of MnBe3W, computed with GGA-PBE.

abc: 4.281 4.281 4.281
angles: 90.00 90.00 90.00
Positions (direct):
Mn 0.000 0.000 0.000
Be 0.000 0.500 0.500
Be 0.500 0.000 0.500
Be 0.500 0.500 0.000
W 0.500 0.500 0.500

Results
Energy of formation ... 1.43 eV/atom
Size of the total moment ... 3.4 μB/f.u.
Space group ... Pm-3m
Energy above the lowest structure with this stoichiometry ... 528 meV/atom

5.
A relaxed structure of MnBeW2, computed with GGA-PBE.

abc: 2.671 3.880 5.323
angles: 90.00 103.69 90.00
Positions (direct):
Mn 0.000 0.000 0.000
Be 0.000 0.000 0.500
W 0.499 0.500 0.254
W 0.501 0.500 0.746

Results
Energy of formation ... 0.18 eV/atom
Size of the total moment ... 1.3 μB/f.u.
Space group ... P2/m

6.
A relaxed structure of Mn2BeW, computed with GGA-PBE.

abc: 4.614 4.614 4.614
angles: 142.28 128.14 65.89
Positions (direct):
Mn 0.249 0.249 0.000
Mn 0.751 0.751 0.000
Be 0.000 0.500 0.500
W 0.500 0.000 0.500

Results
Energy of formation ... 0.10 eV/atom
Size of the total moment ... 0.0 μB/f.u.
Space group ... Immm

7.
A relaxed structure of Mn3BeW, computed with GGA-PBE.

abc: 4.548 4.548 4.548
angles: 90.00 90.00 90.00
Positions (direct):
Mn 0.000 0.000 0.500
Mn 0.000 0.500 0.000
Mn 0.500 0.000 0.000
Be 0.500 0.500 0.500
W 0.000 0.000 0.000

Results
Energy of formation ... 1.70 eV/atom
Size of the total moment ... 6.9 μB/f.u.
Space group ... Pm-3m
Energy above the lowest structure with this stoichiometry ... 1154 meV/atom

8.
A relaxed structure of Mn3BeW, computed with GGA-PBE.

abc: 3.880 3.880 3.880
angles: 90.00 90.00 90.00
Positions (direct):
Mn 0.000 0.000 0.500
Mn 0.000 0.500 0.000
Mn 0.500 0.000 0.000
Be 0.000 0.000 0.000
W 0.500 0.500 0.500

Results
Energy of formation ... 0.55 eV/atom
Size of the total moment ... 2.6 μB/f.u.
Space group ... Pm-3m
Energy above the lowest structure with this stoichiometry ... 0 meV/atom

Repeat the fifth record exactly.
A relaxed structure of MnBeW2, computed with GGA-PBE.

abc: 2.671 3.880 5.323
angles: 90.00 103.69 90.00
Positions (direct):
Mn 0.000 0.000 0.000
Be 0.000 0.000 0.500
W 0.499 0.500 0.254
W 0.501 0.500 0.746

Results
Energy of formation ... 0.18 eV/atom
Size of the total moment ... 1.3 μB/f.u.
Space group ... P2/m

Question: Number 6 is which compound?
Answer: Mn2BeW

What did the sixth record say?
A relaxed structure of Mn2BeW, computed with GGA-PBE.

abc: 4.614 4.614 4.614
angles: 142.28 128.14 65.89
Positions (direct):
Mn 0.249 0.249 0.000
Mn 0.751 0.751 0.000
Be 0.000 0.500 0.500
W 0.500 0.000 0.500

Results
Energy of formation ... 0.10 eV/atom
Size of the total moment ... 0.0 μB/f.u.
Space group ... Immm

Copy entry 8 word for word.
A relaxed structure of Mn3BeW, computed with GGA-PBE.

abc: 3.880 3.880 3.880
angles: 90.00 90.00 90.00
Positions (direct):
Mn 0.000 0.000 0.500
Mn 0.000 0.500 0.000
Mn 0.500 0.000 0.000
Be 0.000 0.000 0.000
W 0.500 0.500 0.500

Results
Energy of formation ... 0.55 eV/atom
Size of the total moment ... 2.6 μB/f.u.
Space group ... Pm-3m
Energy above the lowest structure with this stoichiometry ... 0 meV/atom